# ZrFeSiTc | OQMD via LeMat-Bulk | PBE-GGA | relaxed
# * total magnetic moment: 4.0 μB/f.u.
# * final energy: -8.157 eV per atom
data_ZrFeSiTc
_chemical_formula_sum 'Zr4 Fe4 Si4 Tc4'
_cell_length_a 6.2785
_cell_length_b 6.2785
_cell_length_c 6.2785
_cell_angle_alpha 90.00
_cell_angle_beta 90.00
_cell_angle_gamma 90.00
_space_group_name_H-M_alt 'F -4 3 m'
_space_group_IT_number 216
_space_group_name_Hall 'F -4 2 3'
loop_
_atom_site_label
_atom_site_fract_x
_atom_site_fract_y
_atom_site_fract_z
_atom_site_occupancy
Zr1 0.0000 0.0000 0.0000 1
Fe1 0.0000 0.0000 0.5000 1
Si1 0.2500 0.2500 0.2500 1
Tc1 0.2500 0.2500 0.7500 1